This record from Alexandria describes a geometry-optimized SmErPa structure. The functional is GGA-PBE.

The structure belongs to space group I4mm (No. 107); the cell edges are 3.403, 3.403 and 15.263 Å and the angles 90.00°, 90.00° and 90.00°. The distinct sites, in fractional coordinates, are Sm at (0.000, 0.000, 0.000), Er at (0.000, 0.000, 0.688) and Pa at (0.000, 0.000, 0.342).

The calculated formation energy comes out at 15 kJ per mole of atoms. The total DFT energy (no corrections) comes out at -6.099 eV/atom. The calculation puts the offset from the most stable computed form at 25.1 meV/atom.